First-principles (meta-GGA SCAN) data for a PBEsol-optimized structure of Cu2SbPt, as listed in the Alexandria database.

Computed properties:
Its final energy is -137.99 eV per formula unit. The spin magnetization comes out at 0.00 Bohr magnetons per cell.

Cell lengths 3.392, 3.392, 5.315 Å; angles 90.00, 90.00, 90.00 degrees
Fractional coordinates of all 4 atoms:
Cu (0.000, 0.000, 0.024)
Cu (0.500, 0.500, 0.236)
Pt (0.000, 0.000, 0.496)
Sb (0.500, 0.500, 0.744)